No. 1
4
Lattice="3.138 -1.808 0.000 3.138 1.808 0.000 -2.065 0.000 8.139" Properties=species:S:1:pos:R:3 comment="GGA-PBE MgSc2Se, relaxed" formation_energy_uncorrected_ev_per_atom=-0.7506 mass_density_g_cm3=3.47 crystal_system=monoclinic sg="No. 12" de_polymorph_ev_per_fu=0.00 pbc="T T T"
Mg 0.000 0.000 0.000
Sc 0.018 0.000 5.729
Sc 4.193 0.000 2.410
Se 2.106 0.000 4.070

***

No. 2
3
Lattice="0.000 3.355 3.355 3.355 0.000 3.355 3.355 3.355 0.000" Properties=species:S:1:pos:R:3 comment="GGA-PBE MgScSe, relaxed" formation_energy_uncorrected_ev_per_atom=-0.2172 mass_density_g_cm3=3.26 crystal_system=cubic sg="No. 216" de_polymorph_ev_per_fu=1.68 pbc="T T T"
Mg 0.000 0.000 0.000
Sc 5.033 5.033 5.033
Se 3.355 3.355 3.355

***

No. 3
3
Lattice="3.686 0.000 0.000 -1.843 3.192 0.000 0.000 0.000 5.998" Properties=species:S:1:pos:R:3 comment="GGA-PBE MgScSe, relaxed" formation_energy_uncorrected_ev_per_atom=-0.7786 mass_density_g_cm3=3.49 crystal_system=trigonal sg="No. 156" de_polymorph_ev_per_fu=0.00 pbc="T T T"
Mg 0.000 0.000 0.000
Sc 0.000 2.128 2.476
Se 1.843 1.064 4.111

***

No. 4
3
Lattice="-1.729 1.729 5.887 1.729 -1.729 5.887 1.729 1.729 -5.887" Properties=species:S:1:pos:R:3 comment="GGA-PBE MgScSe, relaxed" formation_energy_uncorrected_ev_per_atom=-0.7574 mass_density_g_cm3=3.50 crystal_system=tetragonal sg="No. 107" de_polymorph_ev_per_fu=0.06 pbc="T T T"
Mg 0.000 0.000 0.000
Sc 0.000 0.000 8.086
Se 0.000 0.000 3.409

***

No. 5
4
Lattice="3.810 0.000 0.000 0.000 1.931 5.882 0.000 -1.931 5.882" Properties=species:S:1:pos:R:3 comment="GGA-PBE MgSc2Se, relaxed" formation_energy_uncorrected_ev_per_atom=-0.6356 mass_density_g_cm3=3.71 crystal_system=orthorhombic sg="No. 38" de_polymorph_ev_per_fu=0.46 pbc="T T T"
Mg 0.000 0.000 0.000
Sc 0.000 0.000 8.634
Sc 1.905 0.000 4.656
Se 1.905 0.000 1.926

***

No. 6
4
Lattice="3.818 0.000 0.000 0.000 1.823 6.272 0.000 -1.823 6.272" Properties=species:S:1:pos:R:3 comment="GGA-PBE MgScSe2, relaxed" formation_energy_uncorrected_ev_per_atom=-1.3212 mass_density_g_cm3=4.32 crystal_system=orthorhombic sg="No. 38" pbc="T T T"
Mg 0.000 0.000 0.000
Sc 1.909 0.000 9.809
Se 0.000 0.000 2.616
Se 1.909 0.000 5.657

***

No. 7
4
Lattice="3.879 0.000 0.000 0.000 3.879 0.000 0.000 0.000 5.552" Properties=species:S:1:pos:R:3 comment="GGA-PBE MgScSe2, relaxed" formation_energy_uncorrected_ev_per_atom=-1.3618 mass_density_g_cm3=4.52 crystal_system=tetragonal sg="No. 99" pbc="T T T"
Mg 0.000 0.000 0.000
Sc 1.940 1.940 2.785
Se 0.000 0.000 2.782
Se 1.940 1.940 0.008

***

No. 8
4
Lattice="1.807 1.043 8.311 -1.807 1.043 8.311 0.000 -2.086 8.311" Properties=species:S:1:pos:R:3 comment="GGA-PBE MgSc2Se, relaxed" formation_energy_uncorrected_ev_per_atom=-0.7052 mass_density_g_cm3=3.41 crystal_system=trigonal sg="No. 160" de_polymorph_ev_per_fu=0.18 pbc="T T T"
Mg 0.000 0.000 0.000
Sc 0.000 0.000 5.807
Sc 0.000 0.000 10.803
Se 0.000 0.000 20.756

***

No. 9
4
Lattice="3.556 0.000 0.000 0.000 3.552 0.000 -0.007 0.000 6.532" Properties=species:S:1:pos:R:3 comment="GGA-PBE MgSc2Se, relaxed" formation_energy_uncorrected_ev_per_atom=-0.6234 mass_density_g_cm3=3.89 crystal_system=monoclinic sg="No. 10" de_polymorph_ev_per_fu=0.51 pbc="T T T"
Mg 0.000 0.000 0.000
Sc 1.778 1.776 1.730
Sc 1.772 1.776 4.803
Se -0.003 0.000 3.266

***

No. 10
4
Lattice="3.558 0.000 0.000 0.000 3.558 0.000 0.000 0.000 7.768" Properties=species:S:1:pos:R:3 comment="GGA-PBE MgSc2Se, relaxed" formation_energy_uncorrected_ev_per_atom=-0.5841 mass_density_g_cm3=3.26 crystal_system=tetragonal sg="No. 99" de_polymorph_ev_per_fu=0.67 pbc="T T T"
Mg 0.000 0.000 0.000
Sc 0.000 0.000 4.022
Sc 1.779 1.779 1.992
Se 1.779 1.779 4.966

***

No. 11
10
Lattice="3.380 1.951 6.119 -3.380 1.951 6.119 0.000 -3.903 6.119" Properties=species:S:1:pos:R:3 comment="GGA-PBE MgScSe3, relaxed" formation_energy_uncorrected_ev_per_atom=-1.1788 mass_density_g_cm3=4.20 crystal_system=trigonal sg="No. 148" de_polymorph_ev_per_fu=0.00 pbc="T T T"
Mg 0.000 0.000 2.832
Mg 0.000 0.000 15.525
Sc 0.000 0.000 6.230
Sc 0.000 0.000 12.127
Se -1.219 -1.917 7.648
Se -2.270 0.097 10.709
Se -1.051 2.014 7.648
Se 1.051 -2.014 10.709
Se 2.270 -0.097 7.648
Se 1.219 1.917 10.709

***

No. 12
6
Lattice="0.000 4.189 4.189 4.189 0.000 4.189 4.189 4.189 0.000" Properties=species:S:1:pos:R:3 comment="GGA-PBE MgSc4Se, relaxed" formation_energy_uncorrected_ev_per_atom=0.1634 mass_density_g_cm3=3.20 crystal_system=cubic sg="No. 216" pbc="T T T"
Mg 0.000 0.000 0.000
Sc 5.246 3.131 3.131
Sc 3.131 5.246 3.131
Sc 3.131 3.131 5.246
Sc 5.246 5.246 5.246
Se 2.094 2.094 2.094

***

No. 13
4
Lattice="-1.795 2.653 4.770 1.795 -2.653 4.770 1.795 2.653 -4.770" Properties=species:S:1:pos:R:3 comment="GGA-PBE MgSc2Se, relaxed" formation_energy_uncorrected_ev_per_atom=-0.5230 mass_density_g_cm3=3.53 crystal_system=orthorhombic sg="No. 71" de_polymorph_ev_per_fu=0.91 pbc="T T T"
Mg 0.000 0.000 0.000
Sc 1.795 0.000 2.792
Sc 0.000 2.653 1.978
Se 0.000 0.000 4.770

***

No. 14
14
Lattice="0.000 5.628 5.628 5.628 0.000 5.628 5.628 5.628 0.000" Properties=species:S:1:pos:R:3 comment="GGA-PBE MgSc5Se8, relaxed" formation_energy_uncorrected_ev_per_atom=-1.5842 mass_density_g_cm3=4.10 crystal_system=cubic sg="No. 216" pbc="T T T"
Mg 0.000 0.000 0.000
Sc 4.190 4.190 4.190
Sc 7.065 7.065 4.190
Sc 7.065 4.190 7.065
Sc 8.442 8.442 8.442
Sc 4.190 7.065 7.065
Se 1.485 1.485 1.485
Se 4.143 4.143 1.485
Se 4.143 1.485 4.143
Se 6.948 4.307 4.307
Se 1.485 4.143 4.143
Se 4.307 6.948 4.307
Se 4.307 4.307 6.948
Se 6.948 6.948 6.948

***

No. 15
8
Lattice="-3.065 3.065 5.910 3.065 -3.065 5.910 3.065 3.065 -5.910" Properties=species:S:1:pos:R:3 comment="GGA-PBE MgScSe2, relaxed" formation_energy_uncorrected_ev_per_atom=-1.1466 mass_density_g_cm3=3.40 crystal_system=tetragonal sg="No. 122" pbc="T T T"
Mg 0.000 0.000 0.000
Mg 0.000 3.065 2.955
Sc 3.065 0.000 2.955
Sc 0.000 0.000 5.910
Se 4.597 1.479 -1.478
Se 1.479 1.532 1.478
Se -1.532 1.586 4.433
Se 1.586 1.532 7.388

***

No. 16
5
Lattice="5.143 0.000 0.000 0.000 5.143 0.000 0.000 0.000 5.143" Properties=species:S:1:pos:R:3 comment="GGA-PBE MgScSe3, relaxed" formation_energy_uncorrected_ev_per_atom=-0.6229 mass_density_g_cm3=3.74 crystal_system=cubic sg="No. 221" de_polymorph_ev_per_fu=2.78 pbc="T T T"
Mg 0.000 0.000 0.000
Sc 2.572 2.572 2.572
Se 0.000 2.572 2.572
Se 2.572 0.000 2.572
Se 2.572 2.572 0.000

***

No. 17
12
Lattice="3.350 -5.825 0.000 3.350 5.825 0.000 -2.232 0.000 6.335" Properties=species:S:1:pos:R:3 comment="GGA-PBE MgSc5Se6, relaxed" formation_energy_uncorrected_ev_per_atom=-1.5100 mass_density_g_cm3=4.86 crystal_system=monoclinic sg="No. 12" pbc="T T T"
Mg 0.000 0.000 0.000
Sc 2.234 3.868 3.167
Sc 3.350 1.956 0.000
Sc 2.234 0.000 3.167
Sc 3.350 -1.956 0.000
Sc 2.234 -3.868 3.167
Se 1.096 1.903 1.571
Se -0.047 0.000 4.783
Se 1.096 -1.903 1.571
Se 3.371 1.903 4.764
Se 4.515 0.000 1.552
Se 3.371 -1.903 4.764

***

No. 18
4
Lattice="1.949 1.125 8.205 -1.949 1.125 8.205 0.000 -2.251 8.205" Properties=species:S:1:pos:R:3 comment="GGA-PBE MgScSe2, relaxed" formation_energy_uncorrected_ev_per_atom=-1.1164 mass_density_g_cm3=3.49 crystal_system=trigonal sg="No. 166" pbc="T T T"
Mg 0.000 0.000 0.000
Sc 0.000 0.000 12.307
Se 0.000 0.000 2.588
Se 0.000 0.000 22.026

***

No. 19
3
Lattice="0.000 3.280 3.280 3.280 0.000 3.280 3.280 3.280 0.000" Properties=species:S:1:pos:R:3 comment="GGA-PBE MgScSe, relaxed" formation_energy_uncorrected_ev_per_atom=-0.3828 mass_density_g_cm3=3.49 crystal_system=cubic sg="No. 216" de_polymorph_ev_per_fu=1.19 pbc="T T T"
Mg 0.000 0.000 0.000
Sc 3.280 3.280 3.280
Se 4.920 4.920 4.920

***

No. 20
4
Lattice="-2.036 2.036 5.111 2.036 -2.036 5.111 2.036 2.036 -5.111" Properties=species:S:1:pos:R:3 comment="GGA-PBE MgSc2Se, relaxed" formation_energy_uncorrected_ev_per_atom=-0.4823 mass_density_g_cm3=3.79 crystal_system=tetragonal sg="No. 119" de_polymorph_ev_per_fu=1.07 pbc="T T T"
Mg 0.000 0.000 0.000
Sc 2.036 0.000 2.555
Sc 0.000 0.000 5.111
Se 0.000 2.036 2.555